Record 1
Entry from Alexandria via LeMat-Bulk: crystalline K2TmBr6 at its relaxed geometry (GGA-PBE).

Its energy relative to the elements, uncorrected is -1.46 eV per atom. The calculated total energy is -3.318 eV per atom.

It has space group Amm2 (No. 38), with a = 4.4484 Å, b = 14.8194 Å, c = 8.5290 Å, α = 90.00°, β = 90.00° and γ = 90.00°. The inequivalent atoms are K at (0.0000, 0.1671, 0.0000), Tm at (0.5000, 0.0000, 0.5015), Br at (0.0000, 0.0000, 0.7352), Br at (0.0000, 0.1166, 0.3838), Br at (0.5000, 0.0000, 0.1468) and Br at (0.5000, 0.1775, 0.6776).

Record 2
Entry from Alexandria via LeMat-Bulk: crystalline CeNd2Dy at its relaxed geometry (GGA-PBE).

The calculated total energy is -4.830 eV per atom. Its energy above the most stable polymorph in this dataset is 120.2 meV/atom.

It has space group R-3m (No. 166, hexagonal axes), with a = 3.4796 Å, b = 3.4796 Å, c = 37.6559 Å, α = 90.00°, β = 90.00° and γ = 120.00°. The inequivalent atoms are Ce at (0.0000, 0.0000, 0.0000), Nd at (0.0000, 0.0000, 0.0881) and Dy at (0.0000, 0.0000, 0.5000).

Record 3
Entry from Alexandria via LeMat-Bulk: crystalline Mn4Rh3 at its relaxed geometry (GGA-PBE).

The calculated total energy is -8.343 eV per atom. Its energy above the most stable polymorph in this dataset is 0.0 meV/atom.

It has space group I4/mmm (No. 139), with a = 2.8508 Å, b = 2.8508 Å, c = 22.9444 Å, α = 90.00°, β = 90.00° and γ = 90.00°. The inequivalent atoms are Mn at (0.0000, 0.0000, 0.0715), Mn at (0.0000, 0.0000, 0.3603), Rh at (0.0000, 0.0000, 0.2069) and Rh at (0.0000, 0.0000, 0.5000).

Record 4
Entry from Alexandria via LeMat-Bulk: crystalline NaLiRhF2 at its relaxed geometry (GGA-PBE).

Its energy relative to the elements, uncorrected is -0.87 eV per atom. The calculated total energy is -3.734 eV per atom.

It has space group P4/mmm (No. 123), with a = 3.9515 Å, b = 3.9515 Å, c = 4.5694 Å, α = 90.00°, β = 90.00° and γ = 90.00°. The inequivalent atoms are Na at (0.0000, 0.0000, 0.0000), Li at (0.5000, 0.5000, 0.5000), Rh at (0.5000, 0.5000, 0.0000) and F at (0.0000, 0.5000, 0.5000).

Record 5
Entry from Alexandria via LeMat-Bulk: crystalline Ce2ScBe3Pt4 at its relaxed geometry (GGA-PBE).

The calculated total energy is -6.202 eV per atom.

It has space group P-4m2 (No. 115), with a = 4.0195 Å, b = 4.0195 Å, c = 10.7382 Å, α = 90.00°, β = 90.00° and γ = 90.00°. The inequivalent atoms are Ce at (0.0000, 0.5000, 0.2313), Sc at (0.0000, 0.0000, 0.5000), Be at (0.0000, 0.5000, 0.8881), Be at (0.5000, 0.5000, 0.5000), Pt at (0.0000, 0.0000, 0.0000), Pt at (0.0000, 0.5000, 0.6615) and Pt at (0.5000, 0.5000, 0.0000).

Record 6
Entry from Alexandria via LeMat-Bulk: crystalline Ca2CrW at its relaxed geometry (GGA-PBE).

The calculated total energy is -5.478 eV per atom. Its energy above the most stable polymorph in this dataset is 675.0 meV/atom.

It has space group P4/mmm (No. 123), with a = 3.8712 Å, b = 3.8712 Å, c = 6.5485 Å, α = 90.00°, β = 90.00° and γ = 90.00°. The inequivalent atoms are Ca at (0.0000, 0.0000, 0.2426), Cr at (0.5000, 0.5000, 0.5000) and W at (0.5000, 0.5000, 0.0000).

Record 7
Entry from Alexandria via LeMat-Bulk: crystalline Tl2AgPS4 at its relaxed geometry (GGA-PBE).

Its energy relative to the elements, uncorrected is -0.29 eV per atom. The calculated total energy is -3.977 eV per atom.

It has space group Fddd (No. 70, origin choice 2), with a = 6.4373 Å, b = 11.9887 Å, c = 24.2888 Å, α = 90.00°, β = 90.00° and γ = 90.00°. The inequivalent atoms are Tl at (0.1250, 0.1250, 0.3186), Ag at (0.1250, 0.1250, 0.1250), P at (0.1250, 0.1250, 0.6250) and S at (0.0624, 0.2749, 0.8269).

Record 8
Entry from Alexandria via LeMat-Bulk: crystalline PrCo3P2 at its relaxed geometry (GGA-PBE).

The calculated total energy is -6.985 eV per atom. Its energy above the most stable polymorph in this dataset is 0.0 meV/atom.

It has space group Pmmn (No. 59, origin choice 2), with a = 3.7836 Å, b = 10.6807 Å, c = 12.4073 Å, α = 90.00°, β = 90.00° and γ = 90.00°. The inequivalent atoms are Pr at (0.2500, 0.0671, 0.2059), Pr at (0.2500, 0.2500, 0.4794), Co at (0.2500, 0.1321, 0.7118), Co at (0.2500, 0.2500, 0.0124), Co at (0.2500, 0.5470, 0.4299), Co at (0.2500, 0.5837, 0.9963), Co at (0.2500, 0.7500, 0.1562), Co at (0.2500, 0.7500, 0.7049), P at (0.2500, 0.0986, 0.8965), P at (0.2500, 0.5548, 0.6136), P at (0.2500, 0.7500, 0.3376) and P at (0.2500, 0.7500, 0.8873).

Record 9
Entry from Alexandria via LeMat-Bulk: crystalline ZnReHg at its relaxed geometry (GGA-PBE).

The calculated total energy is -4.117 eV per atom. Its energy above the most stable polymorph in this dataset is 19.8 meV/atom.

It has space group Fmm2 (No. 42), with a = 2.8828 Å, b = 4.9810 Å, c = 14.2597 Å, α = 90.00°, β = 90.00° and γ = 90.00°. The inequivalent atoms are Zn at (0.0000, 0.0000, 0.0000), Re at (0.0000, 0.0000, 0.3475) and Hg at (0.0000, 0.0000, 0.6705).

Record 10
Entry from Alexandria via LeMat-Bulk: crystalline K4Hg at its relaxed geometry (GGA-PBE).

The calculated total energy is -1.032 eV per atom. Its energy above the most stable polymorph in this dataset is 0.0 meV/atom.

It has space group I4/m (No. 87), with a = 11.2410 Å, b = 11.2410 Å, c = 4.4484 Å, α = 90.00°, β = 90.00° and γ = 90.00°. The inequivalent atoms are K at (0.0677, 0.7428, 0.0000) and Hg at (0.0000, 0.0000, 0.5000).

Record 11
Entry from Alexandria via LeMat-Bulk: crystalline LaZr2SiW at its relaxed geometry (GGA-PBE).

Its energy relative to the elements, uncorrected is 0.90 eV per atom. The calculated total energy is -7.182 eV per atom.

It has space group P4/mmm (No. 123), with a = 4.9017 Å, b = 4.9017 Å, c = 5.4450 Å, α = 90.00°, β = 90.00° and γ = 90.00°. The inequivalent atoms are La at (0.0000, 0.0000, 0.0000), Zr at (0.0000, 0.5000, 0.5000), Si at (0.0000, 0.0000, 0.5000) and W at (0.5000, 0.5000, 0.0000).